1.
SrScRu2 | PBE | relaxed

Summary:
space group = P2/m

abc: 3.072 4.242 6.564
angles: 90.00 100.33 90.00
Atoms (fractional coordinates):
Sr: 0.000 0.000 0.000
Sc: 0.500 0.000 0.500
Ru: 0.278 0.500 0.674
Ru: 0.722 0.500 0.326

***

2.
Sr2ScRu | PBE | relaxed

Summary:
space group = I4/mmm
relative energy among the computed polymorphs = 526 meV/atom

abc: 6.116 6.116 6.116
angles: 136.40 136.40 63.36
Atoms (fractional coordinates):
Sr: 0.250 0.750 0.500
Sr: 0.750 0.250 0.500
Sc: 0.000 0.000 0.000
Ru: 0.500 0.500 0.000

***

3.
Sr2ScRu | PBE | relaxed

Summary:
space group = C2/m
relative energy among the computed polymorphs = 63 meV/atom

abc: 9.367 9.367 4.207
angles: 102.93 102.93 21.13
Atoms (fractional coordinates):
Sr: 0.153 0.153 0.152
Sr: 0.847 0.847 0.848
Sc: 0.000 0.000 0.500
Ru: 0.500 0.500 0.000

***

4.
SrScRu2 | PBE | relaxed

Summary:
space group = I-4m2

abc: 5.647 5.647 5.647
angles: 138.49 138.49 60.16
Atoms (fractional coordinates):
Sr: 0.000 0.000 0.000
Sc: 0.750 0.250 0.500
Ru: 0.250 0.750 0.500
Ru: 0.500 0.500 0.000

***

5.
SrScRu2 | PBE | relaxed

Summary:
space group = Cm

abc: 5.453 5.453 5.331
angles: 105.89 105.89 34.00
Atoms (fractional coordinates):
Sr: 0.000 0.000 0.000
Sc: 0.203 0.203 0.647
Ru: 0.482 0.482 0.476
Ru: 0.778 0.778 0.330

***

6.
Sr2ScRu | PBE | relaxed

Summary:
space group = R3m
relative energy among the computed polymorphs = 12 meV/atom

abc: 8.767 8.767 8.767
angles: 29.10 29.10 29.10
Atoms (fractional coordinates):
Sr: 0.000 0.000 0.000
Sr: 0.184 0.184 0.184
Sc: 0.759 0.759 0.759
Ru: 0.425 0.425 0.425

***

7.
SrScTl2Ru | PBE | relaxed

Summary:
space group = P4/mmm

abc: 5.823 5.823 4.824
angles: 90.00 90.00 90.00
Atoms (fractional coordinates):
Sr: 0.000 0.000 0.000
Sc: 0.500 0.500 0.500
Tl: 0.000 0.500 0.000
Tl: 0.500 0.000 0.000
Ru: 0.000 0.000 0.500

***

8.
SrY2ScRu | PBE | relaxed

Summary:
space group = P4/mmm

abc: 5.494 5.494 5.170
angles: 90.00 90.00 90.00
Atoms (fractional coordinates):
Sr: 0.000 0.000 0.000
Y: 0.000 0.500 0.500
Y: 0.500 0.000 0.500
Sc: 0.500 0.500 0.000
Ru: 0.500 0.500 0.500

***

9.
Sr2YScRu | PBE | relaxed

Summary:
space group = P4/mmm

abc: 5.754 5.754 5.280
angles: 90.00 90.00 90.00
Atoms (fractional coordinates):
Sr: 0.000 0.500 0.000
Sr: 0.500 0.000 0.000
Y: 0.000 0.000 0.500
Sc: 0.500 0.500 0.500
Ru: 0.000 0.000 0.000

***

10.
ScTaRu2 | PBE | relaxed

Summary:
space group = Pm
relative energy among the computed polymorphs = 388 meV/atom

abc: 2.943 4.506 5.122
angles: 90.00 103.24 90.00
Atoms (fractional coordinates):
Sc: 0.000 0.000 0.000
Ta: 0.719 0.500 0.310
Ru: 0.291 0.500 0.821
Ru: 0.460 0.000 0.504

***

11.
Sc2TaRu | PBE | relaxed

Summary:
space group = Imm2
relative energy among the computed polymorphs = 0 meV/atom

abc: 5.665 5.665 5.665
angles: 146.58 129.79 61.66
Atoms (fractional coordinates):
Sc: 0.000 0.000 0.000
Sc: 0.715 0.215 0.500
Ta: 0.283 0.783 0.500
Ru: 0.486 0.486 0.000

***

12.
ScTaRu2 | PBE | relaxed

Summary:
space group = R3m
relative energy among the computed polymorphs = 791 meV/atom

abc: 9.347 9.347 9.347
angles: 17.84 17.84 17.84
Atoms (fractional coordinates):
Sc: 0.000 0.000 0.000
Ta: 0.241 0.241 0.241
Ru: 0.491 0.491 0.491
Ru: 0.750 0.750 0.750

***

13.
ScTa2Ru | PBE | relaxed

Summary:
space group = Pmmm

abc: 3.224 4.509 4.809
angles: 90.00 90.00 90.00
Atoms (fractional coordinates):
Sc: 0.000 0.000 0.000
Ta: 0.000 0.500 0.500
Ta: 0.500 0.000 0.500
Ru: 0.500 0.500 0.000

***

14.
ScTaRu2 | PBE | relaxed

Summary:
space group = Fm-3m
relative energy among the computed polymorphs = 0 meV/atom

abc: 4.499 4.499 4.499
angles: 60.00 60.00 60.00
Atoms (fractional coordinates):
Sc: 0.000 0.000 0.000
Ta: 0.500 0.500 0.500
Ru: 0.250 0.250 0.250
Ru: 0.750 0.750 0.750

***

15.
ScTaRu2 | PBE | relaxed

Summary:
space group = F-43m
relative energy among the computed polymorphs = 622 meV/atom

abc: 4.497 4.497 4.497
angles: 60.00 60.00 60.00
Atoms (fractional coordinates):
Sc: 0.000 0.000 0.000
Ta: 0.250 0.250 0.250
Ru: 0.500 0.500 0.500
Ru: 0.750 0.750 0.750

***

16.
Sc2TaRu | PBE | relaxed

Summary:
space group = I-42d
relative energy among the computed polymorphs = 567 meV/atom

abc: 6.039 6.039 6.039
angles: 102.03 102.03 125.68
Atoms (fractional coordinates):
Sc: 0.077 0.625 0.952
Sc: 0.375 0.327 0.452
Sc: 0.673 0.125 0.048
Sc: 0.875 0.923 0.548
Ta: 0.250 0.750 0.500
Ta: 0.500 0.500 0.000
Ru: 0.000 0.000 0.000
Ru: 0.750 0.250 0.500

***

17.
ScTaRu2 | PBE | relaxed

Summary:
space group = R-3m
relative energy among the computed polymorphs = 462 meV/atom

abc: 8.297 8.297 8.297
angles: 21.59 21.59 21.59
Atoms (fractional coordinates):
Sc: 0.000 0.000 0.000
Ta: 0.500 0.500 0.500
Ru: 0.246 0.246 0.246
Ru: 0.754 0.754 0.754

***

18.
ScTa2Ru3 | PBE | relaxed

Summary:
space group = P4/mmm

abc: 3.182 3.182 9.582
angles: 90.00 90.00 90.00
Atoms (fractional coordinates):
Sc: 0.000 0.000 0.000
Ta: 0.000 0.000 0.334
Ta: 0.000 0.000 0.666
Ru: 0.500 0.500 0.176
Ru: 0.500 0.500 0.500
Ru: 0.500 0.500 0.824

***

19.
ScTa2Ru2 | PBE | relaxed

Summary:
space group = P2_1/m
relative energy among the computed polymorphs = 0 meV/atom

abc: 3.184 4.545 11.643
angles: 90.00 97.92 90.00
Atoms (fractional coordinates):
Sc: 0.146 0.250 0.292
Sc: 0.854 0.750 0.708
Ta: 0.050 0.750 0.100
Ta: 0.244 0.750 0.489
Ta: 0.756 0.250 0.511
Ta: 0.950 0.250 0.900
Ru: 0.354 0.250 0.709
Ru: 0.455 0.750 0.910
Ru: 0.545 0.250 0.090
Ru: 0.646 0.750 0.291

***

20.
ScTaRu2 | PBE | relaxed

Summary:
space group = I-42d
relative energy among the computed polymorphs = 746 meV/atom

abc: 5.733 5.733 5.733
angles: 105.21 105.21 118.37
Atoms (fractional coordinates):
Sc: 0.000 0.000 0.000
Sc: 0.750 0.250 0.500
Ta: 0.250 0.750 0.500
Ta: 0.500 0.500 0.000
Ru: 0.143 0.625 0.018
Ru: 0.375 0.393 0.518
Ru: 0.607 0.125 0.982
Ru: 0.875 0.857 0.482

***

no.,magnetic moment (μB per cell),ΔE_f (kJ per mole of atoms)
1,0.00,18
2,0.00,54
3,0.00,9
4,0.19,47
5,0.00,23
6,0.00,4
7,0.00,124
8,0.00,-13
9,0.00,36
10,0.00,-23
11,0.00,-25
12,0.00,16
13,0.00,-12
14,0.00,-60
15,0.01,0
16,0.00,30
17,0.00,-16
18,0.00,-50
19,0.00,-43
20,0.00,12